w) The following is a DFT calculation (PBE-GGA) of an optimized crystal structure of LiY2TlS.

Geometry as extended XYZ:
```
10
Lattice="7.600 0.000 0.000 0.000 3.886 0.000 -2.737 0.000 7.950" Properties=species:S:1:pos:R:3 pbc="T T T"
Li -0.004 0.972 1.155
Li 4.867 2.915 6.795
Y 0.465 2.915 4.086
Y 2.599 2.915 0.917
Y 2.264 0.972 7.033
Y 4.397 0.972 3.864
Tl -0.818 0.972 6.306
Tl 5.680 2.915 1.644
S 1.807 0.972 2.637
S 3.056 2.915 5.313
```

Density of states at the Fermi level (states/eV/f.u.): 2.25

---

x) The following is a DFT calculation (PBE-GGA) of an optimized crystal structure of LiY2TlS.

Geometry as extended XYZ:
```
5
Lattice="5.283 0.000 0.000 0.000 5.283 0.000 0.000 0.000 4.438" Properties=species:S:1:pos:R:3 pbc="T T T"
Li 0.000 0.000 0.000
Y 0.000 2.642 2.219
Y 2.642 0.000 2.219
Tl 2.642 2.642 0.000
S 0.000 0.000 2.219
```

Density of states at the Fermi level (states/eV/f.u.): 2.31

---

Which of them is the most stable, and which is the least stable? w) and x), in that order.

---

w) The following is a DFT calculation (PBE-GGA) of an optimized crystal structure of LiTm2S.

Geometry as extended XYZ:
```
12
Lattice="3.593 0.000 0.000 -1.796 3.111 0.000 0.000 0.000 29.017" Properties=species:S:1:pos:R:3 pbc="T T T"
Li 0.000 0.000 0.000
Li 0.000 2.074 19.345
Li 1.796 1.037 9.672
Tm 0.000 0.000 3.190
Tm 0.000 0.000 25.827
Tm 0.000 2.074 16.155
Tm 0.000 2.074 22.535
Tm 1.796 1.037 6.482
Tm 1.796 1.037 12.862
S 0.000 0.000 14.508
S 0.000 2.074 4.836
S 1.796 1.037 24.181
```

Density of states at the Fermi level (states/eV/f.u.): 3.20

---

x) The following is a DFT calculation (PBE-GGA) of an optimized crystal structure of LiTm2S.

Geometry as extended XYZ:
```
12
Lattice="3.651 0.000 0.000 -1.826 3.162 0.000 0.000 0.000 25.860" Properties=species:S:1:pos:R:3 pbc="T T T"
Li 0.000 0.000 0.000
Li 0.000 2.108 17.240
Li 1.826 1.054 8.620
Tm 0.000 0.000 5.936
Tm 0.000 0.000 11.291
Tm 0.000 2.108 2.671
Tm 0.000 2.108 23.176
Tm 1.826 1.054 14.556
Tm 1.826 1.054 19.911
S 0.000 0.000 21.537
S 0.000 2.108 12.917
S 1.826 1.054 4.297
```

Density of states at the Fermi level (states/eV/f.u.): 3.48

---

Which of them is the most stable, and which is the least stable? x) and w), in that order.